1.
This record from Alexandria via LeMat-Bulk describes a geometry-optimized Pu2Cd3Au4 structure. The functional is GGA-PBE.

Cell lengths 6.013, 8.050, 9.023 Å; angles 90.00, 109.46, 90.00 degrees
Each line ends with the local moment (μB).
Positions (direct):
Au1 0.313 0.250 0.126  0.01
Au2 0.168 0.966 0.336  0.00
Cd1 0.500 0.500 0.000  0.01
Pu1 0.401 0.101 0.803  5.47
Cd2 0.519 0.750 0.538  0.00
Au3 0.813 0.250 0.126  0.01
Cd3 0.481 0.250 0.462  0.00
Cd4 0.000 0.000 0.000  0.01
Pu2 0.599 0.899 0.197  5.47
Au4 0.832 0.034 0.664  0.00
Pu3 0.901 0.399 0.803  5.47
Cd5 0.019 0.750 0.538  0.00
Au5 0.687 0.750 0.874  0.01
Cd6 0.981 0.250 0.462  0.00
Pu4 0.099 0.601 0.197  5.47
Au6 0.187 0.750 0.874  0.01
Au7 0.668 0.534 0.336  0.00
Au8 0.332 0.466 0.664  0.00

Computed properties:
DFT formation energy = -0.2617 eV/atom

---

2.
This record from Alexandria via LeMat-Bulk describes a geometry-optimized CeGeSe2O structure. The functional is GGA-PBE.

Cell lengths 3.923, 3.923, 13.410 Å; angles 90.00, 90.00, 90.00 degrees
Each line ends with the local moment (μB).
Positions (direct):
Ce1 0.000 0.500 0.405  0.35
Ge1 0.000 0.500 0.900  -0.01
Ge2 0.500 0.000 0.100  -0.01
O1 0.500 0.500 0.500  -0.02
Se1 0.500 0.000 0.892  -0.01
O2 0.000 0.000 0.500  -0.02
Ce2 0.500 0.000 0.595  0.35
Se2 0.000 0.500 0.698  -0.03
Se3 0.500 0.000 0.302  -0.03
Se4 0.000 0.500 0.108  -0.01

Computed properties:
formation energy from raw total energies = -1.66 eV/atom

---

3.
This record from Alexandria via LeMat-Bulk describes a geometry-optimized Y2Ho4Er structure. The functional is GGA-PBE.

Cell lengths 3.595, 3.595, 19.850 Å; angles 95.18, 90.00, 120.00 degrees
Each line ends with the local moment (μB).
Positions (direct):
Ho1 0.905 0.809 0.951  0.04
Y1 0.715 0.430 0.382  0.00
Ho2 0.429 0.858 0.527  -0.04
Ho3 0.001 0.002 0.238  0.04
Ho4 0.523 0.046 0.809  -0.03
Y2 0.620 0.240 0.094  0.08
Er1 0.809 0.618 0.668  -0.10

Computed properties:
DFT formation energy = 0.0034 eV/atom
distance to the lowest polymorph of the same formula = 0 meV/atom

---

4.
This record from Alexandria via LeMat-Bulk describes a geometry-optimized Pr4Te2RhS structure. The functional is GGA-PBE.

Cell lengths 4.250, 7.533, 7.753 Å; angles 108.60, 90.00, 90.00 degrees
Positions (direct):
Te1 0.000 0.500 0.500
Pr1 0.500 0.240 0.217
S1 0.000 0.000 0.000
Pr2 0.000 0.730 0.211
Pr3 0.500 0.760 0.783
Te2 0.500 0.000 0.500
Rh1 0.500 0.500 0.000
Pr4 0.000 0.270 0.789

Computed properties:
formation energy from raw total energies = -1.36 eV/atom

---

5.
This record from Alexandria via LeMat-Bulk describes a geometry-optimized ScAg5 structure. The functional is GGA-PBE.

Cell lengths 3.027, 7.755, 4.847 Å; angles 90.00, 90.00, 78.75 degrees
Positions (direct):
Ag1 0.331 0.339 0.000
Ag2 0.667 0.665 0.000
Ag3 0.557 0.886 0.500
Ag4 0.001 0.998 0.000
Sc1 0.890 0.221 0.500
Ag5 0.221 0.557 0.500

Computed properties:
DFT formation energy = -0.0511 eV/atom

---

6.
This record from Alexandria via LeMat-Bulk describes a geometry-optimized Nd3Sb structure. The functional is GGA-PBE.

Cell lengths 4.173, 6.619, 9.804 Å; angles 99.45, 90.00, 90.00 degrees
Positions (direct):
Nd1 0.750 0.899 0.130
Nd2 0.250 0.230 0.414
Nd3 0.750 0.770 0.586
Sb1 0.250 0.716 0.341
Sb2 0.750 0.284 0.659
Nd4 0.250 0.101 0.870
Nd5 0.250 0.580 0.851
Nd6 0.750 0.420 0.149

Computed properties:
formation energy from raw total energies = -0.52 eV/atom
distance to the lowest polymorph of the same formula = 93 meV/atom